Mg5BiPd6, relaxed, DFT GGA-PBE; space group = No. 10
1.0
4.510 0.000 0.000
0.000 6.640 0.000
-2.076 0.000 6.829
Mg Bi Pd
5 1 6
Direct
0.000 0.000 0.000 Mg
0.330 0.500 0.661 Mg
0.332 0.000 0.665 Mg
0.668 0.000 0.335 Mg
0.670 0.500 0.339 Mg
0.000 0.500 0.000 Bi
0.172 0.244 0.342 Pd
0.172 0.756 0.342 Pd
0.500 0.232 0.000 Pd
0.500 0.768 0.000 Pd
0.828 0.244 0.658 Pd
0.828 0.756 0.658 Pd

---

Mg2BiPd8, relaxed, DFT GGA-PBE; space group = No. 12
1.0
7.191 -2.069 0.000
7.191 2.069 0.000
-1.605 0.000 6.085
Mg Bi Pd
2 1 8
Direct
0.221 0.221 0.154 Mg
0.779 0.779 0.846 Mg
0.500 0.500 0.500 Bi
0.042 0.042 0.224 Pd
0.149 0.149 0.707 Pd
0.319 0.319 0.584 Pd
0.404 0.404 0.035 Pd
0.596 0.596 0.965 Pd
0.681 0.681 0.416 Pd
0.851 0.851 0.293 Pd
0.958 0.958 0.776 Pd

---

MgBiPd6, relaxed, DFT GGA-PBE; space group = No. 123
1.0
5.713 0.000 0.000
0.000 5.713 0.000
0.000 0.000 4.071
Mg Bi Pd
1 1 6
Direct
0.000 0.000 0.000 Mg
0.500 0.500 0.000 Bi
0.000 0.500 0.000 Pd
0.244 0.244 0.500 Pd
0.244 0.756 0.500 Pd
0.500 0.000 0.000 Pd
0.756 0.244 0.500 Pd
0.756 0.756 0.500 Pd

---

| no. | ΔE_f (eV per atom) |
| --- | --- |
| 1 | -0.6385 |
| 2 | -0.4155 |
| 3 | -0.3933 |